# Al2TlBr

A relaxed Al2TlBr crystal (GGA-PBE, Alexandria).

```
data_Al2TlBr
_cell_length_a 3.3438
_cell_length_b 5.8056
_cell_length_c 10.3025
_cell_angle_alpha 90.00
_cell_angle_beta 90.00
_cell_angle_gamma 90.00
_symmetry_space_group_name_H-M 'I m m 2'
_symmetry_Int_Tables_number 44
loop_
_symmetry_equiv_pos_as_xyz
'x,y,z'
'-x,-y,z'
'-x,y,z'
'x,-y,z'
'x+1/2,y+1/2,z+1/2'
'-x+1/2,-y+1/2,z+1/2'
'-x+1/2,y+1/2,z+1/2'
'x+1/2,-y+1/2,z+1/2'
loop_
_atom_site_label
_atom_site_fract_x
_atom_site_fract_y
_atom_site_fract_z
_atom_site_occupancy
Al1 0.0000 0.0000 0.0000 1
Al2 0.0000 0.5000 0.2864 1
Tl1 0.0000 0.0000 0.5143 1
Br1 0.0000 0.5000 0.7082 1
```

Computed properties:
**Mass density**: 5.62 g cm⁻³
**Calculated volume**: 25.00 A^3/atom
**Formation energy without anion corrections**: 0.113 eV per atom
**Crystal system**: orthorhombic

***

# Al2TlBr

A relaxed Al2TlBr crystal (GGA-PBE, Alexandria).

```
data_Al2TlBr
_cell_length_a 3.4422
_cell_length_b 5.9215
_cell_length_c 9.5913
_cell_angle_alpha 90.00
_cell_angle_beta 90.00
_cell_angle_gamma 90.00
_symmetry_space_group_name_H-M 'C m m m'
_symmetry_Int_Tables_number 65
_symmetry_space_group_name_Hall '-C 2 2'
loop_
_atom_site_label
_atom_site_fract_x
_atom_site_fract_y
_atom_site_fract_z
_atom_site_occupancy
Al1 0.0000 0.0000 0.2325 1
Tl1 0.0000 0.5000 0.5000 1
Br1 0.0000 0.5000 0.0000 1
```

Computed properties:
**Mass density**: 5.75 g cm⁻³
**Calculated volume**: 24.44 A^3/atom
**Formation energy without anion corrections**: 0.158 eV per atom
**Crystal system**: orthorhombic

***

# Al2TlBr

A relaxed Al2TlBr crystal (GGA-PBE, Alexandria).

```
data_Al2TlBr
_cell_length_a 3.3406
_cell_length_b 3.3406
_cell_length_c 8.8850
_cell_angle_alpha 90.00
_cell_angle_beta 90.00
_cell_angle_gamma 90.00
_symmetry_space_group_name_H-M 'P 4 m m'
_symmetry_Int_Tables_number 99
loop_
_symmetry_equiv_pos_as_xyz
'x,y,z'
'-y,x,z'
'-x,-y,z'
'y,-x,z'
'-x,y,z'
'y,x,z'
'x,-y,z'
'-y,-x,z'
loop_
_atom_site_label
_atom_site_fract_x
_atom_site_fract_y
_atom_site_fract_z
_atom_site_occupancy
Al1 0.0000 0.0000 0.0000 1
Al2 0.5000 0.5000 0.1754 1
Tl1 0.5000 0.5000 0.7274 1
Br1 0.0000 0.0000 0.3781 1
```

Computed properties:
**Mass density**: 5.66 g cm⁻³
**Calculated volume**: 24.79 A^3/atom
**Formation energy without anion corrections**: 0.037 eV per atom
**Crystal system**: tetragonal

***

Number 1: total magnetic moment 0.00 Bohr magnetons per cell. Number 2: total magnetic moment 0.00 Bohr magnetons per cell. Number 3: total magnetic moment 0.00 Bohr magnetons per cell.